Material: LaPr3S4
Method: DFT, PBE
State: relaxed

Computed properties:
For the total magnetic moment, the calculation gives 0.00 μB/cell. The polymorph energy (0 for the lowest one) comes out at 4 meV per atom. The space-group type is Cmmm, No. 65. The uncorrected formation energy comes out at -2.06 eV/atom.

a b c (Å): 4.0975 7.1470 7.1470
angles (deg): 109.28 90.00 90.00
Element x y z (fractional)
La  0.5000  0.0000  0.0000
Pr  0.0000  0.0000  0.5000
Pr  0.5000  0.5000  0.5000
Pr  0.0000  0.5000  0.0000
S  0.0000  0.2511  0.2511
S  0.5000  0.7496  0.2504
S  0.0000  0.7489  0.7489
S  0.5000  0.2504  0.7496

=====

Material: CdNiPCl2
Method: DFT, PBE
State: relaxed

Computed properties:
For the total magnetic moment, the calculation gives 0.73 μB/cell. The polymorph energy (0 for the lowest one) comes out at 0 meV per atom. The space-group type is P4/mmm, No. 123. The uncorrected formation energy comes out at 0.03 eV/atom.

a b c (Å): 4.6076 4.6076 4.7179
angles (deg): 90.00 90.00 90.00
Site moments in Bohr magnetons follow the coordinates.
Element x y z (fractional)
Ni  0.0000  0.0000  0.0000  0.13
Cl  0.0000  0.5000  0.0000  0.03
Cl  0.5000  0.0000  0.0000  0.03
P  0.0000  0.0000  0.5000  0.26
Cd  0.5000  0.5000  0.5000  -0.02